No. 1
A plane-wave DFT calculation with GGA-PBE was carried out for crystalline AgRh2F at its relaxed geometry.

abc: 3.549 3.549 10.587
angles: 80.35 80.35 90.00
Sites, in units of the cell vectors:
Rh  0.625  0.125  0.250
Rh  0.125  0.625  0.250
Rh  0.375  0.375  0.750
Rh  0.875  0.875  0.750
Ag  0.000  0.000  0.000
Ag  0.750  0.250  0.500
F  0.500  0.500  0.000
F  0.250  0.750  0.500

Values from the calculation:
M_tot   3.88 μB/cell
Space group   I-42d
Formation energy from raw total energies   25.4 kJ/mol of atoms

---

No. 2
A plane-wave DFT calculation with GGA-PBE was carried out for crystalline Ag5RhF8 at its relaxed geometry.

abc: 6.452 6.452 6.452
angles: 110.62 110.62 107.19
Sites, in units of the cell vectors:
Ag  0.812  0.228  0.853
Ag  0.772  0.625  0.584
Ag  0.375  0.959  0.147
Ag  0.500  0.500  0.000
Ag  0.041  0.188  0.416
Rh  0.250  0.750  0.500
F  0.992  0.754  0.222
F  0.246  0.468  0.238
F  0.700  0.909  0.439
F  0.091  0.530  0.792
F  0.738  0.300  0.208
F  0.230  0.008  0.762
F  0.532  0.770  0.778
F  0.470  0.262  0.561

Values from the calculation:
M_tot   2.14 μB/cell
Space group   I-4
Formation energy from raw total energies   -99.6 kJ/mol of atoms

---

No. 3
A plane-wave DFT calculation with GGA-PBE was carried out for crystalline SrAgRhF6 at its relaxed geometry.

abc: 5.002 5.869 5.869
angles: 120.00 90.00 90.00
Sites, in units of the cell vectors:
Sr  0.000  0.333  0.667
Ag  0.500  0.667  0.333
Rh  0.500  0.000  0.000
F  0.727  0.710  0.720
F  0.727  0.280  0.990
F  0.727  0.010  0.290
F  0.273  0.280  0.290
F  0.273  0.710  0.990
F  0.273  0.010  0.720

Values from the calculation:
M_tot   0.00 μB/cell
Space group   P312
Formation energy from raw total energies   -213.2 kJ/mol of atoms

---

No. 4
A plane-wave DFT calculation with GGA-PBE was carried out for crystalline TaAg2RhF at its relaxed geometry.

abc: 4.367 4.470 4.367
angles: 90.00 90.00 90.00
Sites, in units of the cell vectors:
F  0.000  0.000  0.000
Rh  0.000  0.500  0.000
Ag  0.000  0.000  0.500
Ag  0.500  0.000  0.000
Ta  0.500  0.500  0.500

Values from the calculation:
M_tot   1.39 μB/cell
Space group   P4/mmm
Formation energy from raw total energies   59.3 kJ/mol of atoms

---

No. 5
A plane-wave DFT calculation with GGA-PBE was carried out for crystalline TiAg2RhF at its relaxed geometry.

abc: 5.115 5.115 4.364
angles: 90.00 90.00 90.00
Sites, in units of the cell vectors:
F  0.500  0.500  0.500
Rh  0.000  0.000  0.500
Ag  0.000  0.500  0.000
Ag  0.500  0.000  0.000
Ti  0.000  0.000  0.000

Values from the calculation:
M_tot   0.00 μB/cell
Space group   P4/mmm
Formation energy from raw total energies   64.0 kJ/mol of atoms

---

No. 6
A plane-wave DFT calculation with GGA-PBE was carried out for crystalline TiAg2RhF at its relaxed geometry.

abc: 5.066 3.689 5.066
angles: 90.00 90.00 90.00
Sites, in units of the cell vectors:
F  0.000  0.500  0.000
Rh  0.500  0.500  0.500
Ag  0.000  0.000  0.500
Ag  0.500  0.000  0.000
Ti  0.000  0.000  0.000

Values from the calculation:
M_tot   0.00 μB/cell
Space group   P4/mmm
Formation energy from raw total energies   8.2 kJ/mol of atoms

---

No. 7
A plane-wave DFT calculation with GGA-PBE was carried out for crystalline TlAgRhF6 at its relaxed geometry.

abc: 6.048 6.048 5.297
angles: 90.02 89.98 59.94
Sites, in units of the cell vectors:
Tl  0.000  0.000  0.000
Ag  0.666  0.667  0.500
Rh  0.333  0.333  0.500
F  0.056  0.343  0.297
F  0.343  0.056  0.703
F  0.600  0.344  0.703
F  0.056  0.601  0.703
F  0.343  0.601  0.297
F  0.601  0.056  0.297

Values from the calculation:
M_tot   1.06 μB/cell
Space group   P312
Formation energy from raw total energies   -149.1 kJ/mol of atoms

---

No. 8
A plane-wave DFT calculation with GGA-PBE was carried out for crystalline Tl2AgRhF6 at its relaxed geometry.

abc: 6.248 6.248 6.248
angles: 60.00 60.00 60.00
Sites, in units of the cell vectors:
Tl  0.750  0.750  0.750
Tl  0.250  0.250  0.250
Ag  0.500  0.500  0.500
Rh  0.000  0.000  0.000
F  0.230  0.770  0.770
F  0.230  0.770  0.230
F  0.230  0.230  0.770
F  0.770  0.770  0.230
F  0.770  0.230  0.230
F  0.770  0.230  0.770

Values from the calculation:
M_tot   0.19 μB/cell
Space group   Fm-3m
Formation energy from raw total energies   -153.0 kJ/mol of atoms